Density functional theory data (PBE) for crystalline Y3HfZr at its relaxed geometry.

Calculated formation energy, meV/atom: 958
Size of the total moment, μB per cell: 1.5
Crystal system: cubic
Energy above the most stable polymorph in this dataset, eV per atom: 0.000

Cell lengths 5.486, 5.486, 5.486 Å; angles 90.00, 90.00, 90.00 degrees
Space group Pm-3m (No. 221)
One atom of each set of equivalent atoms:
Y1 0.000 0.000 0.500 [3 per cell]
Hf1 0.000 0.000 0.000 [1 per cell]
Zr1 0.500 0.500 0.500 [1 per cell]